[1]
An optimized crystal structure of InPIN2, computed with PBE.

Calculated total energy = -3.542 eV per atom
Excess energy over the best structure of this formula in the dataset = 367 meV/atom
Symmetry = No. 123

Cell and atoms, written as CIF:
```
data_InPIN2
_space_group_name_H-M_alt 'P 1'
_space_group_IT_number 1
_cell_length_a 4.181
_cell_length_b 4.181
_cell_length_c 7.168
_cell_angle_alpha 90.00
_cell_angle_beta 90.00
_cell_angle_gamma 90.00
loop_
_space_group_symop_operation_xyz
'x,y,z'
loop_
_atom_site_label
_atom_site_type_symbol
_atom_site_fract_x
_atom_site_fract_y
_atom_site_fract_z
_atom_site_occupancy
I1 I 0.000 0.000 0.500 1
P1 P 0.500 0.500 0.500 1
N1 N 0.000 0.500 0.000 1
N2 N 0.500 0.000 0.000 1
In1 In 0.000 0.000 0.000 1
```



[2]
An optimized crystal structure of Sr3NiGe, computed with PBE.

Calculated total energy = -3.076 eV per atom
Excess energy over the best structure of this formula in the dataset = 0 meV/atom
Symmetry = No. 221
Energy relative to the elements = 0.012 eV per atom

Cell and atoms, written as CIF:
```
data_Sr3NiGe
_space_group_name_H-M_alt 'P 1'
_space_group_IT_number 1
_cell_length_a 5.559
_cell_length_b 5.559
_cell_length_c 5.559
_cell_angle_alpha 90.00
_cell_angle_beta 90.00
_cell_angle_gamma 90.00
loop_
_space_group_symop_operation_xyz
'x,y,z'
loop_
_atom_site_label
_atom_site_type_symbol
_atom_site_fract_x
_atom_site_fract_y
_atom_site_fract_z
_atom_site_occupancy
Sr1 Sr 0.000 0.500 0.000 1
Sr2 Sr 0.000 0.000 0.500 1
Sr3 Sr 0.500 0.000 0.000 1
Ge1 Ge 0.500 0.500 0.500 1
Ni1 Ni 0.000 0.000 0.000 1
```



[3]
An optimized crystal structure of GeSe2SN, computed with PBE.

Calculated total energy = -3.815 eV per atom
Excess energy over the best structure of this formula in the dataset = 151 meV/atom
Symmetry = No. 123

Cell and atoms, written as CIF:
```
data_GeSe2SN
_space_group_name_H-M_alt 'P 1'
_space_group_IT_number 1
_cell_length_a 5.174
_cell_length_b 5.174
_cell_length_c 3.528
_cell_angle_alpha 90.00
_cell_angle_beta 90.00
_cell_angle_gamma 90.00
loop_
_space_group_symop_operation_xyz
'x,y,z'
loop_
_atom_site_label
_atom_site_type_symbol
_atom_site_fract_x
_atom_site_fract_y
_atom_site_fract_z
_atom_site_occupancy
Ge1 Ge 0.000 0.000 0.000 1
S1 S 0.500 0.500 0.500 1
Se1 Se 0.000 0.500 0.000 1
Se2 Se 0.500 0.000 0.000 1
N1 N 0.000 0.000 0.500 1
```



[4]
An optimized crystal structure of ThMgGe2, computed with PBE.

Calculated total energy = -4.883 eV per atom
Symmetry = No. 123
Energy relative to the elements = -0.321 eV per atom

Cell and atoms, written as CIF:
```
data_ThMgGe2
_space_group_name_H-M_alt 'P 1'
_space_group_IT_number 1
_cell_length_a 3.623
_cell_length_b 3.623
_cell_length_c 6.637
_cell_angle_alpha 90.00
_cell_angle_beta 90.00
_cell_angle_gamma 90.00
loop_
_space_group_symop_operation_xyz
'x,y,z'
loop_
_atom_site_label
_atom_site_type_symbol
_atom_site_fract_x
_atom_site_fract_y
_atom_site_fract_z
_atom_site_occupancy
Ge1 Ge 0.000 0.000 0.796 1
Ge2 Ge 0.000 0.000 0.204 1
Mg1 Mg 0.500 0.500 0.000 1
Th1 Th 0.500 0.500 0.500 1
```



[5]
An optimized crystal structure of LiDySb, computed with PBE.

Calculated total energy = -4.314 eV per atom
Excess energy over the best structure of this formula in the dataset = 37 meV/atom
Symmetry = No. 187

Cell and atoms, written as CIF:
```
data_LiDySb
_space_group_name_H-M_alt 'P 1'
_space_group_IT_number 1
_cell_length_a 4.098
_cell_length_b 4.420
_cell_length_c 4.420
_cell_angle_alpha 120.00
_cell_angle_beta 90.00
_cell_angle_gamma 90.00
loop_
_space_group_symop_operation_xyz
'x,y,z'
loop_
_atom_site_label
_atom_site_type_symbol
_atom_site_fract_x
_atom_site_fract_y
_atom_site_fract_z
_atom_site_occupancy
Sb1 Sb 0.167 0.000 0.000 1
Li1 Li 0.167 0.667 0.333 1
Dy1 Dy 0.667 0.333 0.667 1
```



[6]
An optimized crystal structure of Si2IrAu, computed with PBE.

Calculated total energy = -5.579 eV per atom
Excess energy over the best structure of this formula in the dataset = 378 meV/atom
Symmetry = No. 225

Cell and atoms, written as CIF:
```
data_Si2IrAu
_space_group_name_H-M_alt 'P 1'
_space_group_IT_number 1
_cell_length_a 4.397
_cell_length_b 4.397
_cell_length_c 4.397
_cell_angle_alpha 60.00
_cell_angle_beta 60.00
_cell_angle_gamma 60.00
loop_
_space_group_symop_operation_xyz
'x,y,z'
loop_
_atom_site_label
_atom_site_type_symbol
_atom_site_fract_x
_atom_site_fract_y
_atom_site_fract_z
_atom_site_occupancy
Si1 Si 0.250 0.250 0.250 1
Si2 Si 0.750 0.750 0.750 1
Ir1 Ir 0.000 0.000 0.000 1
Au1 Au 0.500 0.500 0.500 1
```



[7]
An optimized crystal structure of Rb4AsCl, computed with PBE.

Calculated total energy = -2.536 eV per atom
Symmetry = No. 15

Cell and atoms, written as CIF:
```
data_Rb4AsCl
_space_group_name_H-M_alt 'P 1'
_space_group_IT_number 1
_cell_length_a 8.172
_cell_length_b 8.544
_cell_length_c 10.075
_cell_angle_alpha 111.70
_cell_angle_beta 110.42
_cell_angle_gamma 97.69
loop_
_space_group_symop_operation_xyz
'x,y,z'
loop_
_atom_site_label
_atom_site_type_symbol
_atom_site_fract_x
_atom_site_fract_y
_atom_site_fract_z
_atom_site_occupancy
Rb1 Rb 0.991 0.253 0.954 1
Rb2 Rb 0.757 0.625 0.570 1
Rb3 Rb 0.464 0.702 0.954 1
Rb4 Rb 0.313 0.945 0.570 1
Rb5 Rb 0.687 0.055 0.430 1
Rb6 Rb 0.536 0.298 0.046 1
Rb7 Rb 0.243 0.375 0.430 1
Rb8 Rb 0.009 0.747 0.046 1
As1 As 0.380 0.630 0.261 1
As2 As 0.620 0.370 0.739 1
Cl1 Cl 0.167 0.917 0.834 1
Cl2 Cl 0.833 0.083 0.166 1
```



[8]
An optimized crystal structure of LiThF5, computed with PBE.

Calculated total energy = -6.416 eV per atom
Excess energy over the best structure of this formula in the dataset = 75 meV/atom
Symmetry = No. 15

Cell and atoms, written as CIF:
```
data_LiThF5
_space_group_name_H-M_alt 'P 1'
_space_group_IT_number 1
_cell_length_a 5.954
_cell_length_b 5.954
_cell_length_c 9.047
_cell_angle_alpha 113.39
_cell_angle_beta 113.39
_cell_angle_gamma 80.92
loop_
_space_group_symop_operation_xyz
'x,y,z'
loop_
_atom_site_label
_atom_site_type_symbol
_atom_site_fract_x
_atom_site_fract_y
_atom_site_fract_z
_atom_site_occupancy
Li1 Li 0.920 0.580 0.250 1
Li2 Li 0.080 0.420 0.750 1
Th1 Th 0.500 0.000 0.000 1
Th2 Th 0.500 0.000 0.500 1
F1 F 0.740 0.707 0.071 1
F2 F 0.246 0.685 0.346 1
F3 F 0.421 0.079 0.250 1
F4 F 0.793 0.760 0.429 1
F5 F 0.207 0.240 0.571 1
F6 F 0.815 0.253 0.154 1
F7 F 0.185 0.747 0.846 1
F8 F 0.579 0.921 0.750 1
F9 F 0.754 0.315 0.654 1
F10 F 0.260 0.293 0.929 1
```



[9]
An optimized crystal structure of SrGePO2, computed with PBE.

Calculated total energy = -5.260 eV per atom
Excess energy over the best structure of this formula in the dataset = 0 meV/atom
Symmetry = No. 123

Cell and atoms, written as CIF:
```
data_SrGePO2
_space_group_name_H-M_alt 'P 1'
_space_group_IT_number 1
_cell_length_a 4.091
_cell_length_b 4.091
_cell_length_c 4.692
_cell_angle_alpha 90.00
_cell_angle_beta 90.00
_cell_angle_gamma 90.00
loop_
_space_group_symop_operation_xyz
'x,y,z'
loop_
_atom_site_label
_atom_site_type_symbol
_atom_site_fract_x
_atom_site_fract_y
_atom_site_fract_z
_atom_site_occupancy
Sr1 Sr 0.500 0.500 0.500 1
Ge1 Ge 0.000 0.000 0.000 1
O1 O 0.000 0.500 0.000 1
O2 O 0.500 0.000 0.000 1
P1 P 0.000 0.000 0.500 1
```



[10]
An optimized crystal structure of CoSbPt2I, computed with PBE.

Calculated total energy = -3.802 eV per atom
Symmetry = No. 123

Cell and atoms, written as CIF:
```
data_CoSbPt2I
_space_group_name_H-M_alt 'P 1'
_space_group_IT_number 1
_cell_length_a 4.931
_cell_length_b 6.171
_cell_length_c 4.931
_cell_angle_alpha 90.00
_cell_angle_beta 90.00
_cell_angle_gamma 90.00
loop_
_space_group_symop_operation_xyz
'x,y,z'
loop_
_atom_site_label
_atom_site_type_symbol
_atom_site_fract_x
_atom_site_fract_y
_atom_site_fract_z
_atom_site_occupancy
I1 I 0.000 0.500 0.000 1
Sb1 Sb 0.000 0.000 0.000 1
Co1 Co 0.500 0.500 0.500 1
Pt1 Pt 0.000 0.000 0.500 1
Pt2 Pt 0.500 0.000 0.000 1
```